1.
The following is a PBE-GGA calculation of crystalline Ba2Sr2La at its relaxed geometry, from Alexandria.

a b c (Å): 10.7897 10.7897 4.6048
angles (deg): 90.00 90.00 90.00
Sites, in units of the cell vectors:
Ba  0.1689  0.3311  0.0000
Ba  0.3311  0.8311  0.0000
Ba  0.6689  0.1689  0.0000
Ba  0.8311  0.6689  0.0000
Sr  0.1334  0.6334  0.5000
Sr  0.3666  0.1334  0.5000
Sr  0.6334  0.8666  0.5000
Sr  0.8666  0.3666  0.5000
La  0.0000  0.0000  0.5000
La  0.5000  0.5000  0.5000

Properties
- ΔE_f (meV per atom) = 282.3
- calculated volume (A^3/atom) = 53.607
- energy above the most stable polymorph in this dataset (eV/f.u.) = 0.070

---

2.
The following is a PBE-GGA calculation of crystalline BaSrLa at its relaxed geometry, from Alexandria.

a b c (Å): 4.0734 4.0734 10.1770
angles (deg): 90.00 90.00 120.00
Sites, in units of the cell vectors:
Ba  0.0000  0.0000  0.0000
Sr  0.3333  0.6667  0.6398
La  0.6667  0.3333  0.3244

Properties
- ΔE_f (meV per atom) = 134.8
- calculated volume (A^3/atom) = 48.746
- energy above the most stable polymorph in this dataset (eV/f.u.) = 0.037